Density functional theory data (PBE) for crystalline TbDy5Tm5 at its relaxed geometry.

Results
volume = 350.2 Å³ per cell
ΔE to the lowest computed polymorph = 0 meV per atom
energy relative to the elements = 1.64 eV/f.u.

a b c (Å): 6.891 9.380 8.088
angles (deg): 115.52 53.00 121.68
Element x y z (fractional)
Tm 0.680 0.281 0.353
Dy 0.500 0.000 0.000
Dy 0.253 0.345 0.325
Dy 0.747 0.655 0.675
Tm 0.000 0.000 0.500
Tm 0.662 0.316 0.791
Tb 0.000 0.000 0.000
Tm 0.320 0.719 0.647
Dy 0.147 0.358 0.843
Dy 0.853 0.642 0.157
Tm 0.338 0.684 0.209

---

Density functional theory data (PBE) for crystalline TbDy6Tm4 at its relaxed geometry.

Results
volume = 684.6 Å³ per cell
ΔE to the lowest computed polymorph = 0 meV per atom
energy relative to the elements = 1.39 eV/f.u.

a b c (Å): 5.623 5.550 25.442
angles (deg): 90.00 90.00 120.43
Element x y z (fractional)
Dy 0.817 0.634 0.397
Dy 0.517 0.034 0.750
Tm 0.160 0.320 0.043
Tm 0.840 0.680 0.543
Tm 0.480 0.960 0.122
Dy 0.851 0.702 0.819
Tm 0.840 0.680 0.957
Tm 0.160 0.320 0.457
Tm 0.520 0.040 0.622
Dy 0.149 0.298 0.181
Dy 0.183 0.366 0.897
Tm 0.480 0.960 0.378
Tm 0.520 0.040 0.878
Dy 0.149 0.298 0.319
Dy 0.817 0.634 0.103
Dy 0.483 0.966 0.250
Tb 0.817 0.635 0.250
Dy 0.500 0.000 0.500
Dy 0.183 0.366 0.603
Dy 0.500 0.000 0.000
Tb 0.183 0.365 0.750
Dy 0.851 0.702 0.681

---

Density functional theory data (PBE) for crystalline Tb5Dy8Tm at its relaxed geometry.

Results
volume = 454.7 Å³ per cell
energy relative to the elements = 3.59 eV/f.u.

a b c (Å): 8.395 8.395 8.395
angles (deg): 110.85 110.85 106.75
Element x y z (fractional)
Dy 0.664 0.269 0.746
Tm 0.250 0.750 0.500
Tb 0.865 0.967 0.679
Dy 0.082 0.336 0.605
Tb 0.033 0.712 0.898
Dy 0.731 0.476 0.395
Tb 0.288 0.186 0.321
Dy 0.165 0.428 0.088
Tb 0.500 0.500 0.000
Dy 0.524 0.918 0.254
Dy 0.923 0.835 0.263
Tb 0.814 0.135 0.102
Dy 0.340 0.077 0.912
Dy 0.572 0.660 0.737

---

Density functional theory data (PBE) for crystalline Tb2Dy2Tm15 at its relaxed geometry.

Results
volume = 609.7 Å³ per cell
energy relative to the elements = 5.59 eV/f.u.

a b c (Å): 8.605 8.605 8.605
angles (deg): 79.71 79.71 79.71
Element x y z (fractional)
Tm 0.851 0.368 0.368
Tm 0.632 0.149 0.632
Tm 0.000 0.000 0.500
Dy 0.324 0.324 0.324
Tm 0.698 0.302 0.000
Tm 0.368 0.851 0.368
Tb 0.106 0.106 0.106
Tm 0.000 0.500 0.000
Tm 0.500 0.000 0.000
Tm 0.698 0.000 0.302
Tm 0.000 0.302 0.698
Dy 0.676 0.676 0.676
Tm 0.000 0.698 0.302
Tb 0.894 0.894 0.894
Tm 0.302 0.698 0.000
Tm 0.149 0.632 0.632
Tm 0.302 0.000 0.698
Tm 0.368 0.368 0.851
Tm 0.632 0.632 0.149

---

Density functional theory data (PBE) for crystalline Tb4DyTm at its relaxed geometry.

Results
volume = 197.2 Å³ per cell
ΔE to the lowest computed polymorph = 244 meV per atom
energy relative to the elements = 1.57 eV/f.u.

a b c (Å): 6.534 6.534 6.534
angles (deg): 60.00 60.00 60.00
Element x y z (fractional)
Tb 0.625 0.625 0.625
Tb 0.625 0.125 0.625
Tb 0.125 0.625 0.625
Tm 0.000 0.000 0.000
Dy 0.250 0.250 0.250
Tb 0.625 0.625 0.125

---

Density functional theory data (PBE) for crystalline Tb2DyTm at its relaxed geometry.

Results
volume = 124.4 Å³ per cell
ΔE to the lowest computed polymorph = 12 meV per atom
energy relative to the elements = 0.08 eV/f.u.

a b c (Å): 3.530 3.530 9.985
angles (deg): 90.00 90.00 90.00
Element x y z (fractional)
Tb 0.000 0.000 0.752
Tb 0.000 0.000 0.248
Tm 0.500 0.500 0.000
Dy 0.500 0.500 0.500

---

The lowest volume belongs to which entry? Tb2DyTm